(1)
BaLi2Sb | GGA-PBE | optimized geometry

Output
M_tot	0.24	μB per atom
energy relative to the elements, uncorrected	-0.437	eV per atom
crystal system	tetragonal
electronic total energy	-2.91	eV/atom

Geometry as CIF:
```
data_BaLi2Sb
_symmetry_space_group_name_H-M 'I -4 2 d'
_symmetry_Int_Tables_number 122
_symmetry_space_group_name_Hall 'I -4 2bw'
_cell_length_a 5.2403
_cell_length_b 5.2403
_cell_length_c 18.9041
_cell_angle_alpha 90.00
_cell_angle_beta 90.00
_cell_angle_gamma 90.00
loop_
_atom_site_label
_atom_site_type_symbol
_atom_site_fract_x
_atom_site_fract_y
_atom_site_fract_z
Ba1 Ba 0.0000 0.0000 0.0000
Li1 Li 0.0028 0.2500 0.6250
Sb1 Sb 0.0000 0.0000 0.5000
```

=====

(2)
BaLiSb2 | GGA-PBE | optimized geometry

Output
M_tot	0.00	μB per atom
energy relative to the elements, uncorrected	-0.546	eV per atom
crystal system	tetragonal
energy above the most stable polymorph in this dataset	176	meV/atom
electronic total energy	-3.57	eV/atom

Geometry as CIF:
```
data_BaLiSb2
_symmetry_space_group_name_H-M 'P 4/m m m'
_symmetry_Int_Tables_number 123
_symmetry_space_group_name_Hall '-P 4 2'
_cell_length_a 5.0292
_cell_length_b 5.0292
_cell_length_c 4.8537
_cell_angle_alpha 90.00
_cell_angle_beta 90.00
_cell_angle_gamma 90.00
loop_
_atom_site_label
_atom_site_type_symbol
_atom_site_fract_x
_atom_site_fract_y
_atom_site_fract_z
Ba1 Ba 0.0000 0.0000 0.0000
Li1 Li 0.5000 0.5000 0.0000
Sb1 Sb 0.0000 0.5000 0.5000
```